# 1
Density functional theory data (PBE) for an optimized crystal structure of PuZnSnO6.

```
data_PuZnSnO6
_cell_length_a 5.415
_cell_length_b 5.415
_cell_length_c 9.122
_cell_angle_alpha 90.00
_cell_angle_beta 90.00
_cell_angle_gamma 120.00
_symmetry_space_group_name_H-M 'P 1'
_symmetry_Int_Tables_number 1
loop_
_symmetry_equiv_pos_as_xyz
'x,y,z'
loop_
_atom_site_label
_atom_site_type_symbol
_atom_site_fract_x
_atom_site_fract_y
_atom_site_fract_z
_atom_site_occupancy
Pu1 Pu 0.667 0.333 0.250 1
Pu2 Pu 0.333 0.667 0.750 1
Zn1 Zn 0.000 0.000 0.000 1
Zn2 Zn 0.000 0.000 0.500 1
Sn1 Sn 0.333 0.667 0.250 1
Sn2 Sn 0.667 0.333 0.750 1
O1 O 0.661 0.658 0.129 1
O2 O 0.997 0.339 0.129 1
O3 O 0.339 0.997 0.629 1
O4 O 0.003 0.661 0.871 1
O5 O 0.342 0.339 0.371 1
O6 O 0.997 0.658 0.371 1
O7 O 0.658 0.997 0.871 1
O8 O 0.661 0.003 0.371 1
O9 O 0.003 0.342 0.629 1
O10 O 0.342 0.003 0.129 1
O11 O 0.658 0.661 0.629 1
O12 O 0.339 0.342 0.871 1
```

## Properties
DOS at the Fermi energy: 11.942 states/eV/cell
Crystal system: trigonal
Electronic total energy: -7.260 eV per atom


# 2
Density functional theory data (PBE) for an optimized crystal structure of Ag2HgAsS4.

```
data_Ag2HgAsS4
_cell_length_a 5.966
_cell_length_b 5.966
_cell_length_c 6.832
_cell_angle_alpha 113.74
_cell_angle_beta 113.74
_cell_angle_gamma 94.47
_symmetry_space_group_name_H-M 'P 1'
_symmetry_Int_Tables_number 1
loop_
_symmetry_equiv_pos_as_xyz
'x,y,z'
loop_
_atom_site_label
_atom_site_type_symbol
_atom_site_fract_x
_atom_site_fract_y
_atom_site_fract_z
_atom_site_occupancy
Ag1 Ag 0.755 0.255 0.511 1
Ag2 Ag 0.255 0.755 0.511 1
Hg1 Hg 0.024 0.024 0.048 1
As1 As 0.498 0.498 0.997 1
S1 S 0.596 0.596 0.745 1
S2 S 0.379 0.843 0.222 1
S3 S 0.843 0.379 0.222 1
S4 S 0.149 0.149 0.745 1
```

## Properties
DOS at the Fermi energy: 1.670 states/eV/cell
Crystal system: orthorhombic
Electronic total energy: -3.426 eV per atom


Q: Which energy relative to the elements, uncorrected values were calculated for the entries above? A: -171; -3, in kJ per mole of atoms.